A plane-wave DFT calculation with PBE-GGA was carried out for crystalline Li8Nd4O11 at its relaxed geometry.

Values from the calculation:
For the total energy, the calculation gives -6.1379 eV per atom. Its excess energy over the best structure of this formula in the dataset is 0 meV per atom. As for the magnetization: 0.001 Bohr magnetons per cell.

abc: 5.097 6.121 9.492
angles: 78.96 80.30 79.93
Space group P1 (No. 1)
Asymmetric unit:
1 Li 0.000 0.000 0.000
2 Li 0.031 0.711 0.264
3 Li 0.154 0.533 0.905
4 Li 0.276 0.885 0.809
5 Li 0.325 0.752 0.437
6 Li 0.660 0.174 0.809
7 Li 0.771 0.419 0.445
8 Li 0.830 0.111 0.310
9 Nd 0.293 0.216 0.512
10 Nd 0.387 0.212 0.138
11 Nd 0.634 0.687 0.061
12 Nd 0.821 0.780 0.647
13 O 0.035 0.572 0.470
14 O 0.174 0.574 0.098
15 O 0.180 0.038 0.345
16 O 0.365 0.828 0.617
17 O 0.369 0.031 0.948
18 O 0.578 0.386 0.303
19 O 0.585 0.506 0.839
20 O 0.722 0.168 0.592
21 O 0.762 0.939 0.182
22 O 0.791 0.367 0.935
23 O 0.924 0.837 0.860